one:
Material: TlBrNF2
Method: DFT, GGA-PBE
State: optimized geometry

Cell and atoms, written as CIF:
```
data_TlBrNF2
_chemical_formula_sum 'Tl1 Br1 N1 F2'
_space_group_name_H-M_alt 'P 4/m m m'
_space_group_IT_number 123
_space_group_name_Hall '-P 4 2'
_cell_length_a 4.9331
_cell_length_b 4.9331
_cell_length_c 3.7373
_cell_angle_alpha 90.00
_cell_angle_beta 90.00
_cell_angle_gamma 90.00
loop_
_atom_site_label
_atom_site_type_symbol
_atom_site_fract_x
_atom_site_fract_y
_atom_site_fract_z
Tl1 Tl 0.0000 0.0000 0.0000
Br1 Br 0.5000 0.5000 0.5000
N1 N 0.5000 0.5000 0.0000
F1 F 0.0000 0.5000 0.5000
```

- Crystal system: tetragonal
- N(E_F): 3.0 states/eV/f.u.
- Volume: 91.0 Å³/cell

two:
Material: TlBrNF2
Method: DFT, GGA-PBE
State: optimized geometry

Cell and atoms, written as CIF:
```
data_TlBrNF2
_chemical_formula_sum 'Tl1 Br1 N1 F2'
_space_group_name_H-M_alt 'P 4/m m m'
_space_group_IT_number 123
_space_group_name_Hall '-P 4 2'
_cell_length_a 4.3791
_cell_length_b 4.3791
_cell_length_c 4.7715
_cell_angle_alpha 90.00
_cell_angle_beta 90.00
_cell_angle_gamma 90.00
loop_
_atom_site_label
_atom_site_type_symbol
_atom_site_fract_x
_atom_site_fract_y
_atom_site_fract_z
Tl1 Tl 0.0000 0.0000 0.0000
Br1 Br 0.5000 0.5000 0.5000
N1 N 0.0000 0.0000 0.5000
F1 F 0.0000 0.5000 0.0000
```

- Crystal system: tetragonal
- N(E_F): 3.5 states/eV/f.u.
- Volume: 91.5 Å³/cell

Q: What are the energies relative to the best structure? A: one 0; two 69, in meV per atom.